DFT (PBE) results for crystalline BaTaAg2Se4 at its relaxed geometry.

Results
Magnetization: 0.10 μB/atom
DFT total energy: -39.03 eV per cell
Crystal system: tetragonal
ρ: 6.158 Mg/m³
Formation energy (no corrections): -0.70 eV/atom

abc: 7.3464 7.3464 6.7093
angles: 123.19 123.19 90.00
Last column: nearest neighbours and their distance in Å.
Fractional coordinates of all 8 atoms:
Ag  0.2503  0.7503  0.5006  4 Se 2.76
Ag  0.7503  0.2503  0.5006  4 Se 2.76
Se  0.1403  0.1403  0.6669  1 Ta 2.45
Se  0.8596  0.4733  0.3329  1 Ta 2.45
Se  0.4733  0.8596  0.3329  1 Ta 2.45
Se  0.5266  0.5266  0.6669  1 Ta 2.45
Ta  0.5000  0.5000  0.9999  4 Se 2.45
Ba  0.9999  0.9999  0.9999  8 Se 3.47-3.49

DFT (PBE) results for crystalline BaTaAgSe4 at its relaxed geometry.

Results
Magnetization: 0.00 μB/atom
DFT total energy: -74.37 eV per cell
Crystal system: monoclinic
ρ: 5.567 Mg/m³
Formation energy (no corrections): -0.95 eV/atom

abc: 6.3388 8.1536 8.8058
angles: 90.00 103.45 90.00
Last column: nearest neighbours and their distance in Å.
Fractional coordinates of all 14 atoms:
Ba  0.7778  0.7500  0.9104  7 Se 3.29-3.65
Ba  0.2222  0.2500  0.0896  7 Se 3.29-3.65
Se  0.4626  0.7500  0.5445  1 Ta 2.40, 1 Ag 2.64
Se  0.0355  0.0120  0.7323  1 Ta 2.43
Se  0.9645  0.9880  0.2677  1 Ta 2.43
Se  0.3567  0.7500  0.0703  1 Ta 2.44
Se  0.5374  0.2500  0.4555  1 Ta 2.40, 1 Ag 2.64
Se  0.9645  0.5120  0.2677  1 Ta 2.43
Se  0.0355  0.4880  0.7323  1 Ta 2.43
Se  0.6433  0.2500  0.9297  1 Ta 2.44
Ta  0.2010  0.7500  0.2988  4 Se 2.40-2.44
Ta  0.7990  0.2500  0.7012  4 Se 2.40-2.44
Ag  0.6954  0.7500  0.3325  4 Se 2.64-2.76
Ag  0.3046  0.2500  0.6675  4 Se 2.64-2.76

DFT (PBE) results for crystalline BaTbAgSe3 at its relaxed geometry.

Results
Magnetization: 0.00 μB/atom
DFT total energy: -58.30 eV per cell
Crystal system: monoclinic
ρ: 6.170 Mg/m³
Formation energy (no corrections): -1.55 eV/atom

abc: 4.2792 8.7467 9.5825
angles: 105.85 90.00 90.00
Last column: nearest neighbours and their distance in Å.
Fractional coordinates of all 12 atoms:
Ag  0.7500  0.9122  0.4098  4 Se 2.67-2.86, 2 Ag 2.91
Ag  0.2500  0.0878  0.5902  4 Se 2.67-2.86, 2 Ag 2.91
Tb  0.2500  0.6781  0.1597  6 Se 2.89-2.93
Tb  0.7500  0.3219  0.8403  6 Se 2.89-2.93
Se  0.2500  0.5506  0.8456  3 Tb 2.91-2.92
Se  0.7500  0.4494  0.1544  3 Tb 2.91-2.92
Se  0.7500  0.2502  0.5272  3 Ag 2.73-2.86, 1 Tb 2.89
Se  0.7500  0.8946  0.1275  1 Ag 2.67, 2 Tb 2.93
Se  0.2500  0.7498  0.4728  3 Ag 2.73-2.86, 1 Tb 2.89
Se  0.2500  0.1054  0.8725  1 Ag 2.67, 2 Tb 2.93
Ba  0.2500  0.2048  0.2478  7 Se 3.32-3.46, 1 Ag 3.69
Ba  0.7500  0.7952  0.7522  7 Se 3.32-3.46, 1 Ag 3.69

DFT (PBE) results for crystalline BaTbAg2Se4 at its relaxed geometry.

Results
Magnetization: 0.00 μB/atom
DFT total energy: -34.60 eV per cell
Crystal system: orthorhombic
ρ: 6.005 Mg/m³
Formation energy (no corrections): -1.05 eV/atom

abc: 7.1603 6.7108 6.7108
angles: 68.10 57.76 57.76
Last column: nearest neighbours and their distance in Å.
Fractional coordinates of all 8 atoms:
Se  0.9093  0.5216  0.0919  2 Ag 2.60-2.82, 1 Tb 2.78
Se  0.4771  0.0919  0.5216  2 Ag 2.60-2.82, 1 Tb 2.78
Se  0.5229  0.4784  0.9081  2 Ag 2.60-2.82, 1 Tb 2.78
Se  0.0907  0.9081  0.4784  2 Ag 2.60-2.82, 1 Tb 2.78
Ag  0.1913  0.3087  0.3087  4 Se 2.60-2.82
Ag  0.8087  0.6913  0.6913  4 Se 2.60-2.82
Ba  0.0000  0.0000  0.0000  8 Se 3.38-3.44
Tb  0.5000  0.5000  0.5000  4 Se 2.78

DFT (PBE) results for crystalline Ba2TbAg2Se4 at its relaxed geometry.

Results
Magnetization: 0.00 μB/atom
DFT total energy: -39.86 eV per cell
Crystal system: monoclinic
ρ: 6.402 Mg/m³
Formation energy (no corrections): -1.31 eV/atom

abc: 4.1913 8.0183 8.4188
angles: 113.20 104.41 90.00
Last column: nearest neighbours and their distance in Å.
Fractional coordinates of all 9 atoms:
Tb  0.0000  0.0000  0.0000  6 Se 2.91-2.97
Ag  0.3128  0.9959  0.6256  3 Se 2.71-2.78, 2 Ag 2.95
Ag  0.6872  0.0041  0.3744  3 Se 2.71-2.78, 2 Ag 2.95
Ba  0.8638  0.4144  0.7276  7 Se 3.28-3.52, 1 Ag 3.38
Ba  0.1362  0.5856  0.2724  7 Se 3.28-3.52, 1 Ag 3.38
Se  0.8094  0.7652  0.6188  2 Ag 2.78, 1 Tb 2.91
Se  0.1906  0.2348  0.3812  2 Ag 2.78, 1 Tb 2.91
Se  0.4848  0.2478  0.9697  1 Ag 2.71, 2 Tb 2.97
Se  0.5152  0.7522  0.0303  1 Ag 2.71, 2 Tb 2.97

DFT (PBE) results for crystalline Ba3Ag2TeSe6 at its relaxed geometry.

Results
Magnetization: 0.00 μB/atom
DFT total energy: -45.48 eV per cell
Crystal system: trigonal
ρ: 4.938 Mg/m³
Formation energy (no corrections): -0.83 eV/atom

abc: 7.7347 7.7347 7.9779
angles: 90.00 90.00 120.00
Last column: nearest neighbours and their distance in Å.
Fractional coordinates of all 12 atoms:
Ba  0.3333  0.6667  0.6086  3 Se 3.31
Ba  0.0000  0.0000  0.0000  6 Se 3.29
Ba  0.6667  0.3333  0.3914  3 Se 3.31
Ag  0.3333  0.6667  0.1188  3 Se 2.62
Ag  0.6667  0.3333  0.8812  3 Se 2.62
Se  0.8304  0.1696  0.7022  1 Ag 2.62, 1 Te 2.79
Se  0.1696  0.8304  0.2978  1 Ag 2.62, 1 Te 2.79
Se  0.1696  0.3392  0.2978  1 Ag 2.62, 1 Te 2.79
Se  0.8304  0.6608  0.7022  1 Ag 2.62, 1 Te 2.79
Se  0.6608  0.8304  0.2978  1 Ag 2.62, 1 Te 2.79
Se  0.3392  0.1696  0.7022  1 Ag 2.62, 1 Te 2.79
Te  0.0000  0.0000  0.5000  6 Se 2.79

DFT (PBE) results for crystalline BaAgTe2Se4 at its relaxed geometry.

Results
Magnetization: 0.00 μB/atom
DFT total energy: -29.19 eV per cell
Crystal system: tetragonal
ρ: 5.586 Mg/m³
Formation energy (no corrections): -0.52 eV/atom

abc: 7.5301 6.8312 6.8312
angles: 77.59 56.55 56.55
Last column: nearest neighbours and their distance in Å.
Fractional coordinates of all 8 atoms:
Se  0.0002  0.4514  0.1227  1 Ag 2.67, 2 Te 2.79
Se  0.9998  0.8773  0.5486  1 Ag 2.67, 2 Te 2.79
Se  0.5743  0.5486  0.8773  1 Ag 2.67, 2 Te 2.79
Se  0.4257  0.1227  0.4514  1 Ag 2.67, 2 Te 2.79
Te  0.5000  0.2502  0.7498  4 Se 2.79
Te  0.5000  0.7498  0.2502  4 Se 2.79
Ag  0.0000  0.5000  0.5000  4 Se 2.67
Ba  0.0000  0.0000  0.0000  8 Se 3.37-3.66

DFT (PBE) results for crystalline BaAg2TeSe at its relaxed geometry.

Results
Magnetization: 0.00 μB/atom
DFT total energy: -36.02 eV per cell
Crystal system: tetragonal
ρ: 5.773 Mg/m³
Formation energy (no corrections): -0.75 eV/atom

abc: 6.9163 6.9163 8.3192
angles: 114.56 114.56 90.00
Last column: nearest neighbours and their distance in Å.
Fractional coordinates of all 10 atoms:
Ag  0.8020  0.6263  0.9284  2 Se 2.70, 1 Te 2.84
Ag  0.1263  0.3020  0.9284  2 Se 2.70, 1 Te 2.84
Ag  0.3020  0.8020  0.9284  2 Se 2.70, 1 Te 2.84
Ag  0.6263  0.1263  0.9284  2 Se 2.70, 1 Te 2.84
Ba  0.2615  0.2615  0.5230  2 Se 3.23-3.50, 4 Te 3.48
Ba  0.7615  0.7615  0.5230  2 Se 3.23-3.50, 4 Te 3.48
Se  0.5216  0.5216  0.0432  4 Ag 2.70
Se  0.0216  0.0216  0.0432  4 Ag 2.70
Te  0.7888  0.2888  0.5775  2 Ag 2.84
Te  0.2888  0.7888  0.5775  2 Ag 2.84